Material: Tb2MgSe4
Method: DFT, PBE
State: relaxed

Structure (POSCAR):
```
Tb2MgSe4
1.0
14.2091 0.0000 0.0000
0.0000 8.2752 0.0000
0.0000 0.0000 6.8654
Tb Mg Se
8 4 16
Direct
0.0000 0.0000 0.0000
0.0000 0.5000 0.0000
0.2345 0.2500 0.4954
0.2655 0.7500 0.9954
0.5000 0.0000 0.5000
0.5000 0.5000 0.5000
0.7345 0.2500 0.0046
0.7655 0.7500 0.5046
0.0935 0.7500 0.4131
0.4065 0.2500 0.9131
0.5935 0.7500 0.0869
0.9065 0.2500 0.5869
0.0728 0.2500 0.7478
0.0901 0.7500 0.7830
0.1705 0.5066 0.2349
0.1705 0.9934 0.2349
0.3295 0.0066 0.7349
0.3295 0.4934 0.7349
0.4099 0.2500 0.2830
0.4272 0.7500 0.2478
0.5728 0.2500 0.7522
0.5901 0.7500 0.7170
0.6705 0.5066 0.2651
0.6705 0.9934 0.2651
0.8295 0.0066 0.7651
0.8295 0.4934 0.7651
0.9099 0.2500 0.2170
0.9272 0.7500 0.2522
```

SG: Pnma, No. 62
Polymorph energy (0 for the lowest one) in kcal/mol of atoms: 0.34
Formation energy (no corrections) in meV per atom: -1684
Electronic total energy in eV per atom: -5.226
DOS(E_F) in states/eV per cell: 0.00

Material: Tb4MgSe5
Method: DFT, PBE
State: relaxed

Structure (POSCAR):
```
Tb4MgSe5
1.0
-4.5468 4.5468 2.8760
4.5468 -4.5468 2.8760
4.5468 4.5468 -2.8760
Tb Mg Se
4 1 5
Direct
0.0945 0.3074 0.4019
0.3074 0.9055 0.2128
0.6926 0.0945 0.7872
0.9055 0.6926 0.5981
0.4992 0.4992 0.0000
0.9995 0.9995 0.0000
0.2174 0.5982 0.8156
0.4019 0.2174 0.6192
0.5982 0.7826 0.3808
0.7826 0.4019 0.1844
```

SG: I4, No. 79
Polymorph energy (0 for the lowest one) in kcal/mol of atoms: 0.40
Formation energy (no corrections) in meV per atom: -1632
Electronic total energy in eV per atom: -5.386
DOS(E_F) in states/eV per cell: 4.09

Material: TbMgSe
Method: DFT, PBE
State: relaxed

Structure (POSCAR):
```
TbMgSe
1.0
2.8600 -2.8605 0.0000
2.8600 2.8605 0.0000
-0.0391 0.0000 9.1762
Tb Mg Se
2 2 2
Direct
0.2481 0.2481 0.3175
0.7519 0.7519 0.6825
0.2497 0.2497 0.9427
0.7503 0.7503 0.0573
0.2519 0.2519 0.6424
0.7481 0.7481 0.3576
```

SG: C2/m, No. 12
Formation energy (no corrections) in meV per atom: -1032
Electronic total energy in eV per atom: -4.269
DOS(E_F) in states/eV per cell: 4.22

Material: Tb2MgTl3Se6
Method: DFT, PBE
State: relaxed

Structure (POSCAR):
```
Tb2MgTl3Se6
1.0
3.6092 -6.2562 0.0000
3.6092 6.2562 0.0000
-2.4114 0.0000 7.4955
Tb Mg Tl Se
2 1 3 6
Direct
0.1661 0.8339 0.0000
0.8339 0.1661 0.0000
0.5000 0.5000 0.0000
0.0000 0.0000 0.5000
0.3310 0.6690 0.5000
0.6690 0.3310 0.5000
0.1058 0.4316 0.7941
0.2435 0.2435 0.2075
0.4316 0.1058 0.7941
0.5684 0.8942 0.2059
0.7565 0.7565 0.7925
0.8942 0.5684 0.2059
```

SG: C2/m, No. 12
Formation energy (no corrections) in meV per atom: -1139
Electronic total energy in eV per atom: -4.377
DOS(E_F) in states/eV per cell: 5.63

Material: Tb3Tm3MgSe8
Method: DFT, PBE
State: relaxed

Structure (POSCAR):
```
Tb3Tm3MgSe8
1.0
4.0290 2.3261 6.6281
-4.0290 2.3261 6.6281
0.0000 -4.6523 6.6281
Tb Tm Mg Se
3 3 1 8
Direct
0.0000 0.5000 0.5000
0.5000 0.0000 0.5000
0.5000 0.5000 0.0000
0.0000 0.0000 0.5000
0.0000 0.5000 0.0000
0.5000 0.0000 0.0000
0.5000 0.5000 0.5000
0.2477 0.2477 0.2477
0.2511 0.7444 0.7444
0.2556 0.2556 0.7489
0.2556 0.7489 0.2556
0.7444 0.2511 0.7444
0.7444 0.7444 0.2511
0.7489 0.2556 0.2556
0.7523 0.7523 0.7523
```

SG: R-3m, No. 166
Formation energy (no corrections) in meV per atom: -1737
Electronic total energy in eV per atom: -5.522
DOS(E_F) in states/eV per cell: 3.55

Material: TbY4MgSe8
Method: DFT, PBE
State: relaxed

Structure (POSCAR):
```
TbY4MgSe8
1.0
4.1784 2.4124 6.8271
-4.1784 2.4124 6.8271
0.0000 -4.8248 6.8271
Tb Y Mg Se
1 4 1 8
Direct
0.0000 0.0000 0.0000
0.0000 0.0000 0.5132
0.0000 0.5132 0.0000
0.3783 0.3783 0.3783
0.5132 0.0000 0.0000
0.6283 0.6283 0.6283
0.2429 0.7565 0.7565
0.2449 0.2449 0.2449
0.2453 0.2453 0.7783
0.2453 0.7783 0.2453
0.7565 0.2429 0.7565
0.7565 0.7565 0.2429
0.7568 0.7568 0.7568
0.7783 0.2453 0.2453
```

SG: R3m, No. 160
Formation energy (no corrections) in meV per atom: -1729
Electronic total energy in eV per atom: -6.012
DOS(E_F) in states/eV per cell: 4.01

Material: Mg3TcSe
Method: DFT, PBE
State: relaxed

Structure (POSCAR):
```
Mg3TcSe
1.0
4.9371 0.0000 0.0000
0.0000 4.9371 0.0000
0.0000 0.0000 4.9371
Mg Tc Se
3 1 1
Direct
0.0000 0.0000 0.5000
0.0000 0.5000 0.0000
0.5000 0.0000 0.0000
0.5000 0.5000 0.5000
0.0000 0.0000 0.0000
```

SG: Pm-3m, No. 221
Polymorph energy (0 for the lowest one) in kcal/mol of atoms: 0.00
Formation energy (no corrections) in meV per atom: 643
Electronic total energy in eV per atom: -3.084
DOS(E_F) in states/eV per cell: 7.43

Material: MgTcSe4
Method: DFT, PBE
State: relaxed

Structure (POSCAR):
```
MgTcSe4
1.0
0.0000 4.0272 4.0272
4.0272 0.0000 4.0272
4.0272 4.0272 0.0000
Mg Tc Se
1 1 4
Direct
0.0000 0.0000 0.0000
0.2500 0.2500 0.2500
0.1253 0.6249 0.6249
0.6249 0.1253 0.6249
0.6249 0.6249 0.1253
0.6249 0.6249 0.6249
```

SG: F-43m, No. 216
Formation energy (no corrections) in meV per atom: 806
Electronic total energy in eV per atom: -3.511
DOS(E_F) in states/eV per cell: 3.41